CaSbBr2 | PBE | optimized geometry

Unit cell a=7.1129 b=7.1129 c=5.7733 alpha=81.74 beta=81.74 gamma=29.98
Last column: nearest neighbours and their distance in Å.
Atoms (fractional coordinates):
1 Sb 0.2500 0.2500 0.2500  2 Br 2.87
2 Ca 0.7500 0.7500 0.7500  4 Br 2.92
3 Br 0.0970 0.0970 0.9612  1 Sb 2.87, 2 Ca 2.92
4 Br 0.4030 0.4030 0.5388  1 Sb 2.87, 2 Ca 2.92

Computed properties:
* energy: -0.1253 Ha/atom
* space group: C2/m (12)
* DOS(E_F): 0.161 states/eV/atom
* E_form (uncorrected): -100.4 kJ per mole of atoms